Compound: BaGeAu3
Source: the Alexandria database
Functional: PBEsol
Structure: optimized geometry

Lattice parameters (Å, degrees): 4.7475 4.7475 10.0903 90.00 90.00 90.00
Space group I4mm (No. 107)
Inequivalent atoms, fractional coordinates:
Ba 0.0000 0.0000 0.0000
Ge 0.0000 0.0000 0.6465
Au 0.0000 0.0000 0.3960
Au 0.0000 0.5000 0.2437

* E above lowest polymorph: 0.00 eV per formula unit
* calculated total energy: -4.27 eV per atom